Compound: KHg3Pt
Source: Alexandria
Functional: PBE-GGA
Structure: optimized geometry

```
KHg3Pt
1.0
-3.055 3.055 8.915
3.055 -3.055 8.915
3.055 3.055 -8.915
K Hg Pt
2 6 2
direct
0.178 0.178 0.000
0.822 0.822 0.000
0.034 0.534 0.500
0.130 0.372 0.758
0.466 0.966 0.500
0.614 0.372 0.242
0.628 0.386 0.758
0.628 0.870 0.242
0.500 0.500 0.000
0.750 0.250 0.500
```

Values from the calculation:
Density of states at the Fermi level ... 0.01 states/eV/f.u.
Density ... 8.3 g/cm³
Space-group type ... I-4m2
Calculated formation energy ... -0.13 eV/atom